MoPdOF2: optimized geometry, PBE with a Hubbard U.

Lattice parameters (Å, degrees): 4.216 4.216 4.056 90.00 90.00 90.00
Last column: magnetic moment on the atom in μB.
Atoms (fractional coordinates):
Mo1 0.000 0.000 0.000  2.49
O1 0.000 0.000 0.500  -0.18
Pd1 0.500 0.500 0.500  -0.44
F1 0.000 0.500 0.000  0.03
F2 0.500 0.000 0.000  0.03

Values from the calculation:
**M_tot**: 0.400 μB per atom
**Energy above the lowest structure with this stoichiometry**: 0.00 kcal/mol of atoms
**Calculated total energy**: -26.8 eV for the cell shown